1) DFT (GGA-PBE) results for a geometry-optimized La6TbNd4 structure.

Properties
symmetry = No. 121
spin magnetization = 0.000 μB per atom
DOS(E_F) = 1.682 states/eV per atom

Cell lengths 9.5676, 9.5676, 9.5676 Å; angles 136.80, 136.80, 62.74 degrees
Element x y z (fractional)
1 La 0.0000 0.5000 0.5000
2 La 0.0065 0.6299 0.0000
3 La 0.3701 0.3701 0.3766
4 La 0.5000 0.0000 0.5000
5 La 0.6299 0.0065 0.0000
6 La 0.9935 0.9935 0.6234
7 Tb 0.0000 0.0000 0.0000
8 Nd 0.2241 0.2241 0.6619
9 Nd 0.4378 0.7759 0.0000
10 Nd 0.5622 0.5622 0.3381
11 Nd 0.7759 0.4378 0.0000

***

2) DFT (GGA-PBE) results for a geometry-optimized La6TbNd4 structure.

Properties
symmetry = No. 63
spin magnetization = 0.000 μB per atom
DOS(E_F) = 1.611 states/eV per atom

Cell lengths 5.8075, 5.8075, 26.3495 Å; angles 90.00, 90.00, 117.20 degrees
Element x y z (fractional)
1 La 0.0000 0.0000 0.0000
2 La 0.0000 0.0000 0.5000
3 La 0.0613 0.9387 0.7500
4 La 0.2928 0.7072 0.1032
5 La 0.2928 0.7072 0.3968
6 La 0.3863 0.6137 0.6836
7 La 0.3863 0.6137 0.8164
8 La 0.6137 0.3863 0.1836
9 La 0.6137 0.3863 0.3164
10 La 0.7072 0.2928 0.6032
11 La 0.7072 0.2928 0.8968
12 La 0.9387 0.0613 0.2500
13 Tb 0.2802 0.7198 0.2500
14 Tb 0.7198 0.2802 0.7500
15 Nd 0.0557 0.9443 0.6243
16 Nd 0.0557 0.9443 0.8757
17 Nd 0.3528 0.6472 0.5447
18 Nd 0.3528 0.6472 0.9553
19 Nd 0.6472 0.3528 0.0447
20 Nd 0.6472 0.3528 0.4553
21 Nd 0.9443 0.0557 0.1243
22 Nd 0.9443 0.0557 0.3757

***

Quick ranking, most stable first: 2), 1).

***

1) DFT (GGA-PBE) results for a geometry-optimized La4Tb2Nd structure.

Properties
symmetry = No. 9
spin magnetization = 0.000 μB per atom
DOS(E_F) = 1.793 states/eV per atom

Cell lengths 12.7953, 12.7953, 6.9193 Å; angles 96.90, 96.90, 150.24 degrees
Element x y z (fractional)
1 La 0.0192 0.9808 0.5000
2 La 0.3908 0.7840 0.7166
3 La 0.3915 0.8570 0.2514
4 La 0.4463 0.5493 0.5402
5 La 0.5493 0.4463 0.0402
6 La 0.7840 0.3908 0.2166
7 La 0.8570 0.3915 0.7514
8 La 0.9808 0.0192 0.0000
9 Tb 0.2664 0.9489 0.6721
10 Tb 0.4667 0.6523 0.0803
11 Tb 0.6523 0.4667 0.5803
12 Tb 0.9489 0.2664 0.1721
13 Nd 0.1571 0.9083 0.1242
14 Nd 0.9083 0.1571 0.6242

***

2) DFT (GGA-PBE) results for a geometry-optimized La4Tb2Nd structure.

Properties
symmetry = No. 74
spin magnetization = 0.000 μB per atom
DOS(E_F) = 1.618 states/eV per atom

Cell lengths 9.1547, 9.1547, 9.1547 Å; angles 135.09, 100.70, 96.10 degrees
Element x y z (fractional)
1 La 0.1518 0.1502 0.0016
2 La 0.2566 0.2251 0.4685
3 La 0.2566 0.7881 0.0315
4 La 0.3513 0.8498 0.5016
5 La 0.6487 0.1502 0.4984
6 La 0.7434 0.2119 0.9685
7 La 0.7434 0.7749 0.5315
8 La 0.8482 0.8498 0.9984
9 Tb 0.0000 0.5000 0.5000
10 Tb 0.4670 0.7170 0.7500
11 Tb 0.5000 0.5000 0.0000
12 Tb 0.5330 0.2830 0.2500
13 Nd 0.0000 0.0000 0.5000
14 Nd 0.0000 0.5000 0.0000

***

Quick ranking, most stable first: 1), 2).

***

1) DFT (GGA-PBE) results for a geometry-optimized La2Tb2Nd3 structure.

Properties
symmetry = No. 12
spin magnetization = 0.000 μB per atom
DOS(E_F) = 1.560 states/eV per atom

Cell lengths 12.0881, 3.6783, 11.0215 Å; angles 90.00, 95.66, 90.00 degrees
Element x y z (fractional)
1 La 0.2156 0.0000 0.3553
2 La 0.2844 0.5000 0.6447
3 La 0.7156 0.5000 0.3553
4 La 0.7844 0.0000 0.6447
5 Tb 0.0700 0.0000 0.7882
6 Tb 0.4300 0.5000 0.2118
7 Tb 0.5700 0.5000 0.7882
8 Tb 0.9300 0.0000 0.2118
9 Nd 0.0000 0.5000 0.5000
10 Nd 0.1427 0.5000 0.0700
11 Nd 0.3573 0.0000 0.9300
12 Nd 0.5000 0.0000 0.5000
13 Nd 0.6427 0.0000 0.0700
14 Nd 0.8573 0.5000 0.9300

***

2) DFT (GGA-PBE) results for a geometry-optimized La2Tb2Nd3 structure.

Properties
symmetry = No. 12
spin magnetization = 0.000 μB per atom
DOS(E_F) = 1.638 states/eV per atom

Cell lengths 17.9747, 3.5790, 8.7467 Å; angles 90.00, 118.94, 90.00 degrees
Element x y z (fractional)
1 La 0.0643 0.0000 0.4117
2 La 0.4357 0.5000 0.5883
3 La 0.5643 0.5000 0.4117
4 La 0.9357 0.0000 0.5883
5 Tb 0.1503 0.5000 0.8382
6 Tb 0.3497 0.0000 0.1618
7 Tb 0.6503 0.0000 0.8382
8 Tb 0.8497 0.5000 0.1618
9 Nd 0.0000 0.5000 0.0000
10 Nd 0.2131 0.5000 0.2962
11 Nd 0.2869 0.0000 0.7038
12 Nd 0.5000 0.0000 0.0000
13 Nd 0.7131 0.0000 0.2962
14 Nd 0.7869 0.5000 0.7038

***

Quick ranking, most stable first: 1), 2).

***

1) DFT (GGA-PBE) results for a geometry-optimized La5TbNd4 structure.

Properties
symmetry = No. 12
spin magnetization = 0.000 μB per atom
DOS(E_F) = 1.548 states/eV per atom

Cell lengths 9.1149, 9.1149, 11.3158 Å; angles 90.47, 90.47, 23.11 degrees
Element x y z (fractional)
1 La 0.0000 0.0000 0.0000
2 La 0.3260 0.3260 0.0595
3 La 0.3266 0.3266 0.4451
4 La 0.6734 0.6734 0.5549
5 La 0.6740 0.6740 0.9405
6 Tb 0.0000 0.0000 0.5000
7 Nd 0.1506 0.1506 0.2488
8 Nd 0.4718 0.4718 0.2521
9 Nd 0.5282 0.5282 0.7479
10 Nd 0.8494 0.8494 0.7512

***

2) DFT (GGA-PBE) results for a geometry-optimized La5TbNd4 structure.

Properties
symmetry = No. 59
spin magnetization = 0.000 μB per atom
DOS(E_F) = 1.601 states/eV per atom

Cell lengths 6.9550, 9.2178, 11.7709 Å; angles 90.00, 90.00, 90.00 degrees
Element x y z (fractional)
1 La 0.0042 0.0681 0.2192
2 La 0.0042 0.4319 0.2192
3 La 0.2500 0.2500 0.7121
4 La 0.4958 0.0681 0.2192
5 La 0.4958 0.4319 0.2192
6 La 0.5042 0.5681 0.7808
7 La 0.5042 0.9319 0.7808
8 La 0.7500 0.7500 0.2879
9 La 0.9958 0.5681 0.7808
10 La 0.9958 0.9319 0.7808
11 Tb 0.2500 0.7500 0.3119
12 Tb 0.7500 0.2500 0.6881
13 Nd 0.0038 0.7500 0.0419
14 Nd 0.2500 0.0429 0.4941
15 Nd 0.2500 0.4571 0.4941
16 Nd 0.4962 0.7500 0.0419
17 Nd 0.5038 0.2500 0.9581
18 Nd 0.7500 0.5429 0.5059
19 Nd 0.7500 0.9571 0.5059
20 Nd 0.9962 0.2500 0.9581

***

Quick ranking, most stable first: 1), 2).